Density functional theory data (PBE) for an optimized crystal structure of YCuBiIr.

abc: 4.801 4.801 4.801
angles: 60.00 60.00 60.00
Fractional coordinates of all 4 atoms:
Y 0.000 0.000 0.000
Cu 0.750 0.750 0.750
Bi 0.250 0.250 0.250
Ir 0.500 0.500 0.500

Calculated values
- Raw total energy: -5.886 eV/atom
- Calculated volume: 78.2 Å³/f.u.
- Theoretical density: 11.75 g/cm3

=====

Density functional theory data (PBE) for an optimized crystal structure of Tm2In8Co.

abc: 4.584 4.584 12.130
angles: 90.00 90.00 90.00
Fractional coordinates of all 11 atoms:
Tm 0.000 0.000 0.193
Tm 0.000 0.000 0.807
In 0.000 0.500 0.000
In 0.000 0.500 0.380
In 0.000 0.500 0.620
In 0.500 0.000 0.000
In 0.500 0.000 0.380
In 0.500 0.000 0.620
In 0.500 0.500 0.193
In 0.500 0.500 0.807
Co 0.000 0.000 0.500

Calculated values
- Raw total energy: -3.717 eV/atom
- Calculated volume: 254.8 Å³/f.u.
- Theoretical density: 8.57 g/cm3